Compound: UAlRe2
Source: Alexandria
Functional: PBE
Structure: relaxed

Cell lengths 4.5968, 4.5968, 4.5968 Å; angles 60.00, 60.00, 60.00 degrees
Closest atoms and distances in Å follow each position.
Element x y z (fractional)
U  0.0000  0.0000  0.0000  8 Re 2.81
Al  0.5000  0.5000  0.5000  8 Re 2.81
Re  0.2500  0.2500  0.2500  4 U 2.81, 4 Al 2.81
Re  0.7500  0.7500  0.7500  4 U 2.81, 4 Al 2.81

Results
For the total energy, the calculation gives -9.91 eV/atom. The calculation puts the volume at 68.68 Å³/cell. For the offset from the most stable computed form, the calculation gives 179 meV/atom. As for the space group: Fm-3m (225).



Compound: K2Si2Ag
Source: Alexandria
Functional: PBE
Structure: relaxed

Cell lengths 6.6829, 6.6829, 5.6516 Å; angles 90.00, 90.00, 90.00 degrees
Closest atoms and distances in Å follow each position.
Element x y z (fractional)
K  0.1819  0.3181  0.0000  6 Si 3.36-3.51, 5 K 3.44-3.46, 4 Ag 3.74
K  0.3181  0.8181  0.0000  6 Si 3.36-3.51, 5 K 3.44-3.46, 4 Ag 3.74
K  0.6819  0.1819  0.0000  6 Si 3.36-3.51, 5 K 3.44-3.46, 4 Ag 3.74
K  0.8181  0.6819  0.0000  6 Si 3.36-3.51, 5 K 3.44-3.46, 4 Ag 3.74
Si  0.1256  0.6256  0.5000  1 Si 2.37, 2 Ag 2.64
Si  0.3744  0.1256  0.5000  1 Si 2.37, 2 Ag 2.64
Si  0.6256  0.8744  0.5000  1 Si 2.37, 2 Ag 2.64
Si  0.8744  0.3744  0.5000  1 Si 2.37, 2 Ag 2.64
Ag  0.0000  0.0000  0.5000  4 Si 2.64
Ag  0.5000  0.5000  0.5000  4 Si 2.64

Results
For the total energy, the calculation gives -2.99 eV/atom. The calculation puts the volume at 252.40 Å³/cell. For the offset from the most stable computed form, the calculation gives 97 meV/atom. The formation energy from raw total energies comes out at 0.184 eV/atom. As for the space group: P4/mbm (127).



Compound: Ti2HPdAu
Source: Alexandria
Functional: PBE
Structure: relaxed

Cell lengths 4.0143, 4.0143, 4.1634 Å; angles 90.00, 90.00, 90.00 degrees
Closest atoms and distances in Å follow each position.
Element x y z (fractional)
Ti  0.0000  0.5000  0.0000  2 H 2.01
Ti  0.5000  0.0000  0.0000  2 H 2.01
H  0.0000  0.0000  0.0000  4 Ti 2.01, 2 Au 2.08
Pd  0.5000  0.5000  0.5000  4 Au 2.84, 8 Ti 2.89
Au  0.0000  0.0000  0.5000  2 H 2.08

Results
For the total energy, the calculation gives -5.86 eV/atom. The calculation puts the volume at 67.09 Å³/cell. For the offset from the most stable computed form, the calculation gives 74 meV/atom. As for the space group: P4/mmm (123).



Compound: Rb3ScBr6
Source: Alexandria
Functional: PBE
Structure: relaxed

Cell lengths 8.0304, 8.4821, 13.9867 Å; angles 90.00, 124.76, 90.00 degrees
Closest atoms and distances in Å follow each position.
Element x y z (fractional)
Rb  0.0000  0.0000  0.0000  6 Br 3.39-3.46
Rb  0.0000  0.5000  0.5000  6 Br 3.39-3.46
Rb  0.2212  0.0737  0.7484  6 Br 3.48-3.70
Rb  0.2212  0.4263  0.2484  6 Br 3.48-3.70
Rb  0.7788  0.5737  0.7516  6 Br 3.48-3.70
Rb  0.7788  0.9263  0.2516  6 Br 3.48-3.70
Sc  0.5000  0.0000  0.5000  6 Br 2.67-2.69
Sc  0.5000  0.5000  0.0000  6 Br 2.67-2.69
Br  0.1791  0.1715  0.4488  1 Sc 2.68
Br  0.1791  0.3285  0.9488  1 Sc 2.68
Br  0.2748  0.7354  0.4354  1 Sc 2.69
Br  0.2748  0.7646  0.9354  1 Sc 2.69
Br  0.3956  0.0396  0.2826  1 Sc 2.67
Br  0.3956  0.4604  0.7826  1 Sc 2.67
Br  0.6044  0.5396  0.2174  1 Sc 2.67
Br  0.6044  0.9604  0.7174  1 Sc 2.67
Br  0.7252  0.2354  0.0646  1 Sc 2.69
Br  0.7252  0.2646  0.5646  1 Sc 2.69
Br  0.8209  0.6715  0.0512  1 Sc 2.68
Br  0.8209  0.8285  0.5512  1 Sc 2.68

Results
For the total energy, the calculation gives -3.69 eV/atom. The calculation puts the volume at 782.67 Å³/cell. The formation energy from raw total energies comes out at -1.761 eV/atom. As for the space group: P2_1/c (14).



Compound: TaCd2Te
Source: Alexandria
Functional: PBE
Structure: relaxed

Cell lengths 3.3927, 4.7905, 5.3542 Å; angles 90.00, 90.00, 90.00 degrees
Closest atoms and distances in Å follow each position.
Element x y z (fractional)
Ta  0.0000  0.0000  0.0000  4 Te 2.94, 4 Cd 3.17
Cd  0.0000  0.5000  0.5000  4 Cd 2.94, 4 Te 3.17
Cd  0.5000  0.0000  0.5000  4 Cd 2.94, 4 Ta 3.17
Te  0.5000  0.5000  0.0000  4 Ta 2.94, 4 Cd 3.17

Results
For the total energy, the calculation gives -3.77 eV/atom. The calculation puts the volume at 87.02 Å³/cell. The formation energy from raw total energies comes out at 0.435 eV/atom. As for the space group: Pmmm (47).



Compound: Ac2GeRh3
Source: Alexandria
Functional: PBE
Structure: relaxed

Cell lengths 5.3485, 5.3485, 5.3485 Å; angles 66.62, 66.62, 66.62 degrees
Closest atoms and distances in Å follow each position.
Element x y z (fractional)
Ac  0.1325  0.1325  0.1325  9 Rh 3.01-3.37, 1 Ac 3.29
Ac  0.8675  0.8675  0.8675  9 Rh 3.01-3.37, 1 Ac 3.29
Ge  0.5000  0.5000  0.5000  6 Rh 2.67
Rh  0.0000  0.5000  0.5000  2 Ge 2.67, 4 Rh 2.94
Rh  0.5000  0.0000  0.5000  2 Ge 2.67, 4 Rh 2.94
Rh  0.5000  0.5000  0.0000  2 Ge 2.67, 4 Rh 2.94

Results
For the total energy, the calculation gives -6.52 eV/atom. The calculation puts the volume at 123.60 Å³/cell. For the offset from the most stable computed form, the calculation gives 0 meV/atom. As for the space group: R-3m (166).



Compound: P2PdSeBr
Source: Alexandria
Functional: PBE
Structure: relaxed

Cell lengths 4.9186, 4.9186, 4.8101 Å; angles 90.00, 90.00, 90.00 degrees
Closest atoms and distances in Å follow each position.
Element x y z (fractional)
P  0.0000  0.5000  0.0000  2 Se 2.46
P  0.5000  0.0000  0.0000  2 Se 2.46
Pd  0.0000  0.0000  0.5000  2 Se 2.41
Se  0.0000  0.0000  0.0000  2 Pd 2.41, 4 P 2.46
Br  0.5000  0.5000  0.5000  8 P 3.44, 4 Pd 3.48

Results
For the total energy, the calculation gives -3.34 eV/atom. The calculation puts the volume at 116.37 Å³/cell. The formation energy from raw total energies comes out at 0.897 eV/atom. As for the space group: P4/mmm (123).



Compound: Th2SnPtRh5
Source: Alexandria
Functional: PBE
Structure: relaxed

Cell lengths 7.9389, 7.9389, 7.9389 Å; angles 115.48, 115.48, 98.02 degrees
Closest atoms and distances in Å follow each position.
Element x y z (fractional)
Th  0.1398  0.6398  0.7795  2 Rh 2.48
Th  0.3602  0.1398  0.5000  2 Rh 2.48
Th  0.6398  0.8602  0.5000  2 Rh 2.48
Th  0.8602  0.3602  0.2205  2 Rh 2.48
Sn  0.2500  0.2500  0.0000  2 Rh 2.60
Sn  0.7500  0.7500  0.0000  2 Rh 2.60
Pt  0.2500  0.7500  0.5000  4 Rh 2.58
Pt  0.7500  0.2500  0.5000  4 Rh 2.58
Rh  0.0000  0.0000  0.0000  2 Sn 2.60
Rh  0.0544  0.1720  0.5000  1 Th 2.48, 1 Pt 2.58, 1 Rh 2.75
Rh  0.1720  0.6720  0.1176  1 Th 2.48, 1 Pt 2.58, 1 Rh 2.75
Rh  0.3280  0.4456  0.5000  1 Th 2.48, 1 Pt 2.58, 1 Rh 2.75
Rh  0.4456  0.9456  0.1176  1 Th 2.48, 1 Pt 2.58, 1 Rh 2.75
Rh  0.5000  0.5000  0.0000  2 Sn 2.60
Rh  0.5544  0.0544  0.8824  1 Th 2.48, 1 Pt 2.58, 1 Rh 2.75
Rh  0.6720  0.5544  0.5000  1 Th 2.48, 1 Pt 2.58, 1 Rh 2.75
Rh  0.8280  0.3280  0.8824  1 Th 2.48, 1 Pt 2.58, 1 Rh 2.75
Rh  0.9456  0.8280  0.5000  1 Th 2.48, 1 Pt 2.58, 1 Rh 2.75

Results
For the total energy, the calculation gives -7.10 eV/atom. The calculation puts the volume at 373.99 Å³/cell. As for the space group: I4/mcm (140).



Compound: Li3Sc
Source: Alexandria
Functional: PBE
Structure: relaxed

Cell lengths 5.4430, 5.4430, 3.0224 Å; angles 90.00, 90.00, 108.77 degrees
Closest atoms and distances in Å follow each position.
Element x y z (fractional)
Li  0.0000  0.0000  0.0000  10 Li 3.02-3.11, 2 Sc 3.17
Li  0.0000  0.5000  0.5000  8 Li 3.02-3.17, 4 Sc 3.11
Li  0.5000  0.0000  0.5000  8 Li 3.02-3.17, 4 Sc 3.11
Sc  0.5000  0.5000  0.0000  2 Sc 3.02, 10 Li 3.11-3.17

Results
For the total energy, the calculation gives -2.83 eV/atom. The calculation puts the volume at 84.78 Å³/cell. For the offset from the most stable computed form, the calculation gives 84 meV/atom. As for the space group: Cmmm (65).



Compound: Ag2HCl
Source: Alexandria
Functional: PBE
Structure: relaxed

Cell lengths 4.5411, 4.5411, 4.5411 Å; angles 60.00, 60.00, 60.00 degrees
Closest atoms and distances in Å follow each position.
Element x y z (fractional)
Ag  0.2500  0.2500  0.2500  4 H 2.78, 4 Cl 2.78
Ag  0.7500  0.7500  0.7500  4 H 2.78, 4 Cl 2.78
H  0.0000  0.0000  0.0000  8 Ag 2.78
Cl  0.5000  0.5000  0.5000  8 Ag 2.78

Results
For the total energy, the calculation gives -2.35 eV/atom. The calculation puts the volume at 66.22 Å³/cell. For the offset from the most stable computed form, the calculation gives 512 meV/atom. As for the space group: Fm-3m (225).



Compound: GePdRuO6
Source: Alexandria
Functional: PBE
Structure: relaxed

Cell lengths 4.5527, 4.5527, 9.2593 Å; angles 90.00, 90.00, 90.00 degrees
Closest atoms and distances in Å follow each position.
Element x y z (fractional)
Ge  0.0000  0.0000  0.0000  6 O 1.92-1.93
Ge  0.5000  0.5000  0.5000  6 O 1.92-1.93
Pd  0.0000  0.0000  0.3329  6 O 2.02-2.05
Pd  0.5000  0.5000  0.8329  6 O 2.02-2.05
Ru  0.0000  0.0000  0.6684  6 O 1.96-2.00
Ru  0.5000  0.5000  0.1684  6 O 1.96-2.00
O  0.1863  0.1863  0.8372  1 Ge 1.93, 1 Ru 1.97, 1 Pd 2.02
O  0.1956  0.1956  0.1583  1 Ge 1.93, 1 Ru 1.96, 1 Pd 2.05
O  0.2012  0.2012  0.5035  1 Ge 1.92, 1 Ru 2.00, 1 Pd 2.04
O  0.2988  0.7012  0.0035  1 Ge 1.92, 1 Ru 2.00, 1 Pd 2.04
O  0.3044  0.6956  0.6583  1 Ge 1.93, 1 Ru 1.96, 1 Pd 2.05
O  0.3137  0.6863  0.3372  1 Ge 1.93, 1 Ru 1.97, 1 Pd 2.02
O  0.6863  0.3137  0.3372  1 Ge 1.93, 1 Ru 1.97, 1 Pd 2.02
O  0.6956  0.3044  0.6583  1 Ge 1.93, 1 Ru 1.96, 1 Pd 2.05
O  0.7012  0.2988  0.0035  1 Ge 1.92, 1 Ru 2.00, 1 Pd 2.04
O  0.7988  0.7988  0.5035  1 Ge 1.92, 1 Ru 2.00, 1 Pd 2.04
O  0.8044  0.8044  0.1583  1 Ge 1.93, 1 Ru 1.96, 1 Pd 2.05
O  0.8137  0.8137  0.8372  1 Ge 1.93, 1 Ru 1.97, 1 Pd 2.02

Results
For the total energy, the calculation gives -6.36 eV/atom. The calculation puts the volume at 191.92 Å³/cell. The formation energy from raw total energies comes out at -0.930 eV/atom. As for the space group: P4_2nm (102).



Compound: MgMoPd
Source: Alexandria
Functional: PBE
Structure: relaxed

Cell lengths 3.2334, 3.2455, 9.4471 Å; angles 90.00, 91.43, 90.00 degrees
Closest atoms and distances in Å follow each position.
Element x y z (fractional)
Mg  0.0000  0.0000  0.0000  4 Pd 2.73-2.74, 4 Mo 2.92-2.93
Mg  0.0194  0.0000  0.3256  8 Pd 2.73-2.79
Mo  0.0586  0.0000  0.6717  2 Mo 2.47
Mo  0.4873  0.5000  0.8073  2 Mo 2.47
Pd  0.5088  0.5000  0.1574  8 Mg 2.73-2.79
Pd  0.5250  0.5000  0.4858  4 Mg 2.73-2.76, 5 Mo 2.85-3.04

Results
For the total energy, the calculation gives -6.08 eV/atom. The calculation puts the volume at 99.11 Å³/cell. For the offset from the most stable computed form, the calculation gives 3 meV/atom. As for the space group: Pm (6).